(1)
A geometry-optimized SmGaNi structure. Source: OQMD, functional GGA-PBE.

As for the raw total energy: -5.029 eV per atom.

The structure belongs to space group Pnma (No. 62); the cell edges are 6.8411, 4.2843 and 7.6377 Å and the angles 90.00°, 90.00° and 90.00°. The asymmetric unit holds Sm at (0.0345, 0.2500, 0.1825), Ga at (0.1483, 0.2500, 0.5640) and Ni at (0.2227, 0.7500, 0.3822).

---

(2)
A geometry-optimized BaAlOs structure. Source: OQMD, functional GGA-PBE.

As for the raw total energy: -4.890 eV per atom.

The structure belongs to space group F-43m (No. 216); the cell edges are 6.7569, 6.7569 and 6.7569 Å and the angles 90.00°, 90.00° and 90.00°. The asymmetric unit holds Ba at (0.0000, 0.0000, 0.0000), Al at (0.0000, 0.0000, 0.5000) and Os at (0.2500, 0.2500, 0.7500).

---

(3)
A geometry-optimized GeTePdO structure. Source: OQMD, functional GGA-PBE.

The energy above the most stable polymorph in this dataset is 286.9 meV per atom.

The structure belongs to space group P2_12_12_1 (No. 19); the cell edges are 4.9277, 8.3372 and 8.9234 Å and the angles 90.00°, 90.00° and 90.00°. The asymmetric unit holds Ge at (0.2173, 0.2115, 0.1100), Te at (0.0770, 0.4318, 0.3182), Pd at (0.1939, 0.7014, 0.0478) and O at (0.0756, 0.2639, 0.9278).